## P
VASP calculation (PBE-GGA) on an optimized crystal structure of PrIrPd.

a = 4.6559 Å, b = 4.6559 Å, c = 4.6559 Å
α = 60.00°, β = 60.00°, γ = 60.00°
With the nearest neighbours (Å) after each atom.
Atoms (fractional coordinates):
Pr 0.0000 0.0000 0.0000  4 Pd 2.85, 4 Ir 2.85
Ir 0.2500 0.2500 0.2500  4 Pr 2.85
Pd 0.7500 0.7500 0.7500  4 Pr 2.85


## Q
VASP calculation (PBE-GGA) on an optimized crystal structure of PrIrPd.

a = 4.6346 Å, b = 4.6346 Å, c = 4.6346 Å
α = 60.00°, β = 60.00°, γ = 60.00°
With the nearest neighbours (Å) after each atom.
Atoms (fractional coordinates):
Pr 0.2500 0.2500 0.2500  4 Ir 2.84
Ir 0.0000 0.0000 0.0000  4 Pd 2.84, 4 Pr 2.84
Pd 0.7500 0.7500 0.7500  4 Ir 2.84


Stability, lowest: P


## P
VASP calculation (PBE-GGA) on an optimized crystal structure of IrPdPt.

a = 5.5592 Å, b = 3.9143 Å, c = 8.3251 Å
α = 90.00°, β = 90.00°, γ = 90.00°
With the nearest neighbours (Å) after each atom.
Atoms (fractional coordinates):
Pd 0.1254 0.7500 0.9171  5 Pt 2.75-2.79, 5 Ir 2.76-2.79, 2 Pd 2.77
Pd 0.6254 0.7500 0.5829  5 Pt 2.75-2.79, 5 Ir 2.76-2.79, 2 Pd 2.77
Pd 0.3746 0.2500 0.4171  5 Pt 2.75-2.79, 5 Ir 2.76-2.79, 2 Pd 2.77
Pd 0.8746 0.2500 0.0829  5 Pt 2.75-2.79, 5 Ir 2.76-2.79, 2 Pd 2.77
Pt 0.1254 0.7500 0.5873  5 Pd 2.75-2.79, 5 Ir 2.75-2.79, 2 Pt 2.81
Pt 0.6254 0.7500 0.9127  5 Pd 2.75-2.79, 5 Ir 2.75-2.79, 2 Pt 2.81
Pt 0.3746 0.2500 0.0873  5 Pd 2.75-2.79, 5 Ir 2.75-2.79, 2 Pt 2.81
Pt 0.8746 0.2500 0.4127  5 Pd 2.75-2.79, 5 Ir 2.75-2.79, 2 Pt 2.81
Ir 0.3752 0.2500 0.7525  5 Pt 2.75-2.79, 5 Pd 2.76-2.79, 2 Ir 2.78
Ir 0.1248 0.7500 0.2525  5 Pt 2.75-2.79, 5 Pd 2.76-2.79, 2 Ir 2.78
Ir 0.6248 0.7500 0.2475  5 Pt 2.75-2.79, 5 Pd 2.76-2.79, 2 Ir 2.78
Ir 0.8752 0.2500 0.7475  5 Pt 2.75-2.79, 5 Pd 2.76-2.79, 2 Ir 2.78


## Q
VASP calculation (PBE-GGA) on an optimized crystal structure of IrPdPt.

a = 4.2526 Å, b = 4.2526 Å, c = 4.2526 Å
α = 60.00°, β = 60.00°, γ = 60.00°
With the nearest neighbours (Å) after each atom.
Atoms (fractional coordinates):
Pd 0.2500 0.2500 0.2500  4 Ir 2.60
Pt 0.7500 0.7500 0.7500  4 Ir 2.60
Ir 0.0000 0.0000 0.0000  4 Pd 2.60, 4 Pt 2.60


Stability, lowest: Q


## P
VASP calculation (PBE-GGA) on an optimized crystal structure of PuIrPd.

a = 4.5110 Å, b = 4.5110 Å, c = 4.5110 Å
α = 60.00°, β = 60.00°, γ = 60.00°
With the nearest neighbours (Å) after each atom.
Atoms (fractional coordinates):
Pd 0.7500 0.7500 0.7500  4 Ir 2.76
Ir 0.0000 0.0000 0.0000  4 Pu 2.76, 4 Pd 2.76
Pu 0.2500 0.2500 0.2500  4 Ir 2.76


## Q
VASP calculation (PBE-GGA) on an optimized crystal structure of PuIrPd.

a = 4.4413 Å, b = 4.4413 Å, c = 4.4413 Å
α = 60.00°, β = 60.00°, γ = 60.00°
With the nearest neighbours (Å) after each atom.
Atoms (fractional coordinates):
Ir 0.5000 0.5000 0.5000  4 Pu 2.72
Pu 0.2500 0.2500 0.2500  4 Pd 2.72, 4 Ir 2.72
Pd 0.0000 0.0000 0.0000  4 Pu 2.72


Stability, lowest: Q


## P
VASP calculation (PBE-GGA) on an optimized crystal structure of RbIrPd.

a = 4.7829 Å, b = 4.7829 Å, c = 4.7829 Å
α = 60.00°, β = 60.00°, γ = 60.00°
With the nearest neighbours (Å) after each atom.
Atoms (fractional coordinates):
Rb 0.0000 0.0000 0.0000  4 Ir 2.93, 4 Pd 2.93
Pd 0.7500 0.7500 0.7500  4 Rb 2.93
Ir 0.2500 0.2500 0.2500  4 Rb 2.93


## Q
VASP calculation (PBE-GGA) on an optimized crystal structure of RbIrPd.

a = 4.7429 Å, b = 4.7429 Å, c = 4.7429 Å
α = 60.00°, β = 60.00°, γ = 60.00°
With the nearest neighbours (Å) after each atom.
Atoms (fractional coordinates):
Rb 0.7500 0.7500 0.7500  4 Ir 2.90
Pd 0.2500 0.2500 0.2500  4 Ir 2.90
Ir 0.0000 0.0000 0.0000  4 Rb 2.90, 4 Pd 2.90


Stability, lowest: P


## P
VASP calculation (PBE-GGA) on an optimized crystal structure of ScIrPd.

a = 4.3745 Å, b = 4.3745 Å, c = 4.3745 Å
α = 60.00°, β = 60.00°, γ = 60.00°
With the nearest neighbours (Å) after each atom.
Atoms (fractional coordinates):
Ir 0.0000 0.0000 0.0000  4 Pd 2.68, 4 Sc 2.68
Sc 0.7500 0.7500 0.7500  4 Ir 2.68
Pd 0.2500 0.2500 0.2500  4 Ir 2.68


## Q
VASP calculation (PBE-GGA) on an optimized crystal structure of ScIrPd.

a = 4.3106 Å, b = 4.3106 Å, c = 4.3106 Å
α = 60.00°, β = 60.00°, γ = 60.00°
With the nearest neighbours (Å) after each atom.
Atoms (fractional coordinates):
Pd 0.7500 0.7500 0.7500  4 Sc 2.64
Ir 0.2500 0.2500 0.2500  4 Sc 2.64
Sc 0.0000 0.0000 0.0000  4 Pd 2.64, 4 Ir 2.64


Stability, lowest: Q


## P
VASP calculation (PBE-GGA) on an optimized crystal structure of TaIrPd.

a = 4.2891 Å, b = 4.2891 Å, c = 4.2891 Å
α = 60.00°, β = 60.00°, γ = 60.00°
With the nearest neighbours (Å) after each atom.
Atoms (fractional coordinates):
Ta 0.0000 0.0000 0.0000  4 Ir 2.63, 4 Pd 2.63
Pd 0.7500 0.7500 0.7500  4 Ta 2.63
Ir 0.2500 0.2500 0.2500  4 Ta 2.63


## Q
VASP calculation (PBE-GGA) on an optimized crystal structure of TaIrPd.

a = 4.3106 Å, b = 4.3106 Å, c = 4.3106 Å
α = 60.00°, β = 60.00°, γ = 60.00°
With the nearest neighbours (Å) after each atom.
Atoms (fractional coordinates):
Pd 0.2500 0.2500 0.2500  4 Ir 2.64
Ir 0.0000 0.0000 0.0000  4 Pd 2.64, 4 Ta 2.64
Ta 0.7500 0.7500 0.7500  4 Ir 2.64


Stability, lowest: Q


## P
VASP calculation (PBE-GGA) on an optimized crystal structure of UIrPd.

a = 4.4917 Å, b = 4.4917 Å, c = 4.4917 Å
α = 60.00°, β = 60.00°, γ = 60.00°
With the nearest neighbours (Å) after each atom.
Atoms (fractional coordinates):
Ir 0.0000 0.0000 0.0000  4 Pd 2.75, 4 U 2.75
U 0.2500 0.2500 0.2500  4 Ir 2.75
Pd 0.7500 0.7500 0.7500  4 Ir 2.75


## Q
VASP calculation (PBE-GGA) on an optimized crystal structure of UIrPd.

a = 4.5248 Å, b = 4.5248 Å, c = 4.5248 Å
α = 60.00°, β = 60.00°, γ = 60.00°
With the nearest neighbours (Å) after each atom.
Atoms (fractional coordinates):
Ir 0.7500 0.7500 0.7500  4 U 2.77
Pd 0.2500 0.2500 0.2500  4 U 2.77
U 0.0000 0.0000 0.0000  4 Ir 2.77, 4 Pd 2.77


Stability, lowest: Q


## P
VASP calculation (PBE-GGA) on an optimized crystal structure of PmIr2.

a = 5.4103 Å, b = 5.4103 Å, c = 5.4103 Å
α = 60.00°, β = 60.00°, γ = 60.00°
With the nearest neighbours (Å) after each atom.
Atoms (fractional coordinates):
Pm 0.2500 0.2500 0.2500  12 Ir 3.17, 4 Pm 3.31
Pm 0.0000 0.0000 0.0000  12 Ir 3.17, 4 Pm 3.31
Ir 0.6250 0.6250 0.1250  6 Ir 2.71
Ir 0.6250 0.1250 0.6250  6 Ir 2.71
Ir 0.1250 0.6250 0.6250  6 Ir 2.71
Ir 0.6250 0.6250 0.6250  6 Ir 2.71


## Q
VASP calculation (PBE-GGA) on an optimized crystal structure of PmIr2.

a = 8.7909 Å, b = 8.7909 Å, c = 8.7909 Å
α = 60.00°, β = 60.00°, γ = 60.00°
With the nearest neighbours (Å) after each atom.
Atoms (fractional coordinates):
Ir 0.3750 0.8750 0.3750  2 Pm 2.69
Ir 0.8750 0.3750 0.3750  2 Pm 2.69
Ir 0.3750 0.3750 0.3750  2 Pm 2.69
Ir 0.3750 0.3750 0.8750  2 Pm 2.69
Pm 0.5000 0.5000 0.5000  4 Ir 2.69
Pm 0.2500 0.2500 0.2500  4 Ir 2.69


Stability, lowest: Q


## P
VASP calculation (PBE-GGA) on an optimized crystal structure of PmPrIr4.

a = 5.4297 Å, b = 5.4297 Å, c = 5.4297 Å
α = 60.00°, β = 60.00°, γ = 60.00°
With the nearest neighbours (Å) after each atom.
Atoms (fractional coordinates):
Ir 0.6251 0.6251 0.1248  6 Ir 2.71-2.72
Ir 0.6251 0.1248 0.6251  6 Ir 2.71-2.72
Ir 0.6251 0.6251 0.6251  6 Ir 2.71-2.72
Ir 0.1248 0.6251 0.6251  6 Ir 2.71-2.72
Pm 0.0000 0.0000 0.0000  12 Ir 3.18, 4 Pr 3.32
Pr 0.2500 0.2500 0.2500  12 Ir 3.18, 4 Pm 3.32


## Q
VASP calculation (PBE-GGA) on an optimized crystal structure of PmPrIr4.

a = 5.3751 Å, b = 5.3751 Å, c = 5.4649 Å
α = 90.00°, β = 90.00°, γ = 90.45°
With the nearest neighbours (Å) after each atom.
Atoms (fractional coordinates):
Pr 0.0000 0.0000 0.5000  2 Ir 2.62
Ir 0.6562 0.3438 0.5000  1 Ir 2.38, 1 Pr 2.62
Ir 0.8414 0.8414 0.0000  1 Ir 2.40, 1 Pm 2.59
Ir 0.3438 0.6562 0.5000  1 Ir 2.38, 1 Pr 2.62
Ir 0.1586 0.1586 0.0000  1 Ir 2.40, 1 Pm 2.59
Pm 0.5000 0.5000 0.0000  2 Ir 2.59


Stability, lowest: Q


## P
VASP calculation (PBE-GGA) on an optimized crystal structure of PmIrPt.

a = 4.5920 Å, b = 4.5920 Å, c = 4.5920 Å
α = 60.00°, β = 60.00°, γ = 60.00°
With the nearest neighbours (Å) after each atom.
Atoms (fractional coordinates):
Pm 0.7500 0.7500 0.7500  4 Ir 2.81
Pt 0.2500 0.2500 0.2500  4 Ir 2.81
Ir 0.0000 0.0000 0.0000  4 Pm 2.81, 4 Pt 2.81


## Q
VASP calculation (PBE-GGA) on an optimized crystal structure of PmIrPt.

a = 4.6174 Å, b = 4.6174 Å, c = 4.6174 Å
α = 60.00°, β = 60.00°, γ = 60.00°
With the nearest neighbours (Å) after each atom.
Atoms (fractional coordinates):
Ir 0.2500 0.2500 0.2500  4 Pm 2.83
Pt 0.7500 0.7500 0.7500  4 Pm 2.83
Pm 0.0000 0.0000 0.0000  4 Pt 2.83, 4 Ir 2.83


Stability, lowest: Q


## P
VASP calculation (PBE-GGA) on an optimized crystal structure of PmSnIr.

a = 4.7410 Å, b = 4.7410 Å, c = 4.7410 Å
α = 60.00°, β = 60.00°, γ = 60.00°
With the nearest neighbours (Å) after each atom.
Atoms (fractional coordinates):
Sn 0.2500 0.2500 0.2500  4 Ir 2.90
Pm 0.7500 0.7500 0.7500  4 Ir 2.90
Ir 0.0000 0.0000 0.0000  4 Sn 2.90, 4 Pm 2.90


## Q
VASP calculation (PBE-GGA) on an optimized crystal structure of PmSnIr.

a = 7.1902 Å, b = 4.6195 Å, c = 8.1067 Å
α = 90.00°, β = 90.00°, γ = 90.00°
With the nearest neighbours (Å) after each atom.
Atoms (fractional coordinates):
Ir 0.7718 0.7500 0.6039  4 Sn 2.74-2.81, 1 Pm 2.95
Ir 0.2718 0.7500 0.8961  4 Sn 2.74-2.81, 1 Pm 2.95
Ir 0.2282 0.2500 0.3961  4 Sn 2.74-2.81, 1 Pm 2.95
Ir 0.7282 0.2500 0.1039  4 Sn 2.74-2.81, 1 Pm 2.95
Pm 0.4760 0.2500 0.6867  5 Ir 2.95-3.22, 3 Sn 3.28-3.30
Pm 0.0240 0.7500 0.1867  5 Ir 2.95-3.22, 3 Sn 3.28-3.30
Pm 0.5240 0.7500 0.3133  5 Ir 2.95-3.22, 3 Sn 3.28-3.30
Pm 0.9760 0.2500 0.8133  5 Ir 2.95-3.22, 3 Sn 3.28-3.30
Sn 0.8394 0.2500 0.4270  4 Ir 2.74-2.81
Sn 0.3394 0.2500 0.0730  4 Ir 2.74-2.81
Sn 0.6606 0.7500 0.9270  4 Ir 2.74-2.81
Sn 0.1606 0.7500 0.5730  4 Ir 2.74-2.81


Stability, lowest: P


## P
VASP calculation (PBE-GGA) on an optimized crystal structure of PmIrW.

a = 4.6217 Å, b = 4.6217 Å, c = 4.6217 Å
α = 60.00°, β = 60.00°, γ = 60.00°
With the nearest neighbours (Å) after each atom.
Atoms (fractional coordinates):
Pm 0.0000 0.0000 0.0000  4 W 2.83, 4 Ir 2.83
Ir 0.2500 0.2500 0.2500  4 Pm 2.83
W 0.7500 0.7500 0.7500  4 Pm 2.83


## Q
VASP calculation (PBE-GGA) on an optimized crystal structure of PmIrW.

a = 4.5959 Å, b = 4.5959 Å, c = 4.5959 Å
α = 60.00°, β = 60.00°, γ = 60.00°
With the nearest neighbours (Å) after each atom.
Atoms (fractional coordinates):
W 0.2500 0.2500 0.2500  4 Ir 2.81
Pm 0.7500 0.7500 0.7500  4 Ir 2.81
Ir 0.0000 0.0000 0.0000  4 W 2.81, 4 Pm 2.81


Stability, lowest: P


## P
VASP calculation (PBE-GGA) on an optimized crystal structure of Pr3Sc3Te2Ir.

a = 8.4526 Å, b = 8.4526 Å, c = 3.8425 Å
α = 90.00°, β = 90.00°, γ = 120.00°
With the nearest neighbours (Å) after each atom.
Atoms (fractional coordinates):
Pr 0.0000 0.7465 0.5000  2 Ir 2.88, 2 Te 3.21
Pr 0.7465 0.0000 0.5000  2 Ir 2.88, 2 Te 3.21
Pr 0.2535 0.2535 0.5000  2 Ir 2.88, 2 Te 3.21
Sc 0.0000 0.3999 0.0000  4 Te 3.22, 1 Ir 3.38, 6 Pr 3.50-3.53
Sc 0.6001 0.6001 0.0000  4 Te 3.22, 1 Ir 3.38, 6 Pr 3.50-3.53
Sc 0.3999 0.0000 0.0000  4 Te 3.22, 1 Ir 3.38, 6 Pr 3.50-3.53
Te 0.6667 0.3333 0.5000  3 Pr 3.21, 6 Sc 3.22
Te 0.3333 0.6667 0.5000  3 Pr 3.21, 6 Sc 3.22
Ir 0.0000 0.0000 0.0000  6 Pr 2.88


## Q
VASP calculation (PBE-GGA) on an optimized crystal structure of Pr3Sc3Te2Ir.

a = 8.1722 Å, b = 8.1722 Å, c = 4.0965 Å
α = 90.00°, β = 90.00°, γ = 120.00°
With the nearest neighbours (Å) after each atom.
Atoms (fractional coordinates):
Sc 0.7752 0.0000 0.5000  2 Ir 2.75
Sc 0.2247 0.2248 0.5000  2 Ir 2.75
Sc 0.0000 0.7752 0.5000  2 Ir 2.75
Pr 0.6031 0.6031 0.0000  4 Te 3.24, 1 Ir 3.24, 4 Sc 3.48
Pr 0.3969 0.0000 0.0000  4 Te 3.24, 1 Ir 3.24, 4 Sc 3.48
Pr 0.0000 0.3969 0.0000  4 Te 3.24, 1 Ir 3.24, 4 Sc 3.48
Ir 0.0000 0.0000 0.0000  6 Sc 2.75
Te 0.3333 0.6667 0.5000  6 Pr 3.24, 3 Sc 3.26
Te 0.6667 0.3333 0.5000  6 Pr 3.24, 3 Sc 3.26


Stability, lowest: P


## P
VASP calculation (PBE-GGA) on an optimized crystal structure of PrSmIr.

a = 7.3503 Å, b = 4.8267 Å, c = 9.0909 Å
α = 90.00°, β = 90.00°, γ = 90.00°
With the nearest neighbours (Å) after each atom.
Atoms (fractional coordinates):
Sm 0.5006 0.7500 0.8409  3 Ir 2.80-3.06
Sm 0.9994 0.2500 0.3409  3 Ir 2.80-3.06
Sm 0.0006 0.7500 0.6591  3 Ir 2.80-3.06
Sm 0.4994 0.2500 0.1591  3 Ir 2.80-3.06
Pr 0.3592 0.2500 0.5908  4 Ir 2.97-3.06
Pr 0.6408 0.7500 0.4092  4 Ir 2.97-3.06
Pr 0.1408 0.7500 0.0908  4 Ir 2.97-3.06
Pr 0.8592 0.2500 0.9092  4 Ir 2.97-3.06
Ir 0.2627 0.2500 0.9179  3 Sm 2.80-3.06, 4 Pr 2.97-3.06
Ir 0.7627 0.2500 0.5821  3 Sm 2.80-3.06, 4 Pr 2.97-3.06
Ir 0.2373 0.7500 0.4179  3 Sm 2.80-3.06, 4 Pr 2.97-3.06
Ir 0.7373 0.7500 0.0821  3 Sm 2.80-3.06, 4 Pr 2.97-3.06


## Q
VASP calculation (PBE-GGA) on an optimized crystal structure of PrSmIr.

a = 4.8103 Å, b = 4.8103 Å, c = 4.8103 Å
α = 60.00°, β = 60.00°, γ = 60.00°
With the nearest neighbours (Å) after each atom.
Atoms (fractional coordinates):
Ir 0.2500 0.2500 0.2500  4 Sm 2.95
Pr 0.7500 0.7500 0.7500  4 Sm 2.95
Sm 0.0000 0.0000 0.0000  4 Pr 2.95, 4 Ir 2.95


## R
VASP calculation (PBE-GGA) on an optimized crystal structure of PrSmIr.

a = 7.4010 Å, b = 4.8271 Å, c = 8.9430 Å
α = 90.00°, β = 90.00°, γ = 90.00°
With the nearest neighbours (Å) after each atom.
Atoms (fractional coordinates):
Ir 0.7508 0.7500 0.4187  3 Pr 2.86-3.14, 4 Sm 2.89-3.09
Ir 0.7492 0.2500 0.9187  3 Pr 2.86-3.14, 4 Sm 2.89-3.09
Ir 0.2508 0.7500 0.0813  3 Pr 2.86-3.14, 4 Sm 2.89-3.09
Ir 0.2492 0.2500 0.5813  3 Pr 2.86-3.14, 4 Sm 2.89-3.09
Sm 0.1392 0.2500 0.9142  4 Ir 2.89-3.09
Sm 0.3608 0.7500 0.4142  4 Ir 2.89-3.09
Sm 0.6392 0.2500 0.5858  4 Ir 2.89-3.09
Sm 0.8608 0.7500 0.0858  4 Ir 2.89-3.09
Pr 0.9965 0.7500 0.6652  3 Ir 2.86-3.14
Pr 0.0035 0.2500 0.3348  3 Ir 2.86-3.14
Pr 0.5035 0.2500 0.1652  3 Ir 2.86-3.14
Pr 0.4965 0.7500 0.8348  3 Ir 2.86-3.14


Stability, lowest: Q